Record 1
# Ba3Tl8Hg3, relaxed, DFT PBE
# Calculated formation energy = -0.28 eV/atom
# DFT total energy = -59.00 eV per cell
# Theoretical density = 9.49 g/cm3
data_Ba3Tl8Hg3
_cell_length_a 5.233
_cell_length_b 11.909
_cell_length_c 14.870
_cell_angle_alpha 90.00
_cell_angle_beta 90.00
_cell_angle_gamma 90.00
_symmetry_space_group_name_H-M 'I m m m'
_symmetry_Int_Tables_number 71
_symmetry_space_group_name_Hall '-I 2 2'
loop_
_atom_site_label
_atom_site_type_symbol
_atom_site_fract_x
_atom_site_fract_y
_atom_site_fract_z
_atom_site_occupancy
Ba1 Ba 0.000 0.000 0.000 1
Ba2 Ba 0.000 0.000 0.315 1
Tl1 Tl 0.000 0.276 0.141 1
Tl2 Tl 0.000 0.369 0.342 1
Hg1 Hg 0.000 0.182 0.500 1
Hg2 Hg 0.000 0.500 0.000 1


Record 2
# BaTl8Hg6, relaxed, DFT PBE
# Calculated formation energy = -0.06 eV/atom
# DFT total energy = -70.80 eV per cell
# Theoretical density = 10.09 g/cm3
data_BaTl8Hg6
_cell_length_a 9.2210
_cell_length_b 9.2210
_cell_length_c 19.9604
_cell_angle_alpha 90.00
_cell_angle_beta 90.00
_cell_angle_gamma 120.00
_symmetry_space_group_name_H-M 'R -3'
_symmetry_Int_Tables_number 148
_symmetry_space_group_name_Hall '-R 3'
loop_
_atom_site_label
_atom_site_type_symbol
_atom_site_fract_x
_atom_site_fract_y
_atom_site_fract_z
_atom_site_occupancy
Ba1 Ba 0.0000 0.0000 0.0000 1
Tl1 Tl 0.0000 0.0000 0.3109 1
Tl2 Tl 0.0053 0.3274 0.8812 1
Hg1 Hg 0.0083 0.3057 0.3914 1


Record 3
# Ba5TlHg2, relaxed, DFT PBE
# Calculated formation energy = -0.35 eV/atom
# DFT total energy = -61.61 eV per cell
# Theoretical density = 6.13 g/cm3
data_Ba5TlHg2
_cell_length_a 9.456
_cell_length_b 9.456
_cell_length_c 15.662
_cell_angle_alpha 90.00
_cell_angle_beta 90.00
_cell_angle_gamma 90.00
_symmetry_space_group_name_H-M 'I 4/m c m'
_symmetry_Int_Tables_number 140
_symmetry_space_group_name_Hall '-I 4 2c'
loop_
_atom_site_label
_atom_site_type_symbol
_atom_site_fract_x
_atom_site_fract_y
_atom_site_fract_z
_atom_site_occupancy
Ba1 Ba 0.000 0.000 0.000 1
Ba2 Ba 0.164 0.336 0.144 1
Tl1 Tl 0.000 0.000 0.250 1
Hg1 Hg 0.128 0.372 0.500 1


Record 4
# Ba2Tl5Hg5, relaxed, DFT PBE
# Calculated formation energy = -0.22 eV/atom
# DFT total energy = -19.77 eV per cell
# Theoretical density = 9.88 g/cm3
data_Ba2Tl5Hg5
_cell_length_a 5.256
_cell_length_b 6.535
_cell_length_c 11.254
_cell_angle_alpha 90.00
_cell_angle_beta 90.00
_cell_angle_gamma 90.00
_symmetry_space_group_name_H-M 'P m m m'
_symmetry_Int_Tables_number 47
_symmetry_space_group_name_Hall '-P 2 2'
loop_
_atom_site_label
_atom_site_type_symbol
_atom_site_fract_x
_atom_site_fract_y
_atom_site_fract_z
_atom_site_occupancy
Ba1 Ba 0.000 0.000 0.000 1
Ba2 Ba 0.000 0.500 0.500 1
Tl1 Tl 0.500 0.000 0.500 1
Tl2 Tl 0.500 0.252 0.247 1
Hg1 Hg 0.000 0.000 0.332 1
Hg2 Hg 0.000 0.500 0.158 1
Hg3 Hg 0.500 0.500 0.000 1


Record 5
# Ba4Tl13Hg3, relaxed, DFT PBE
# Calculated formation energy = -0.27 eV/atom
# DFT total energy = -89.46 eV per cell
# Theoretical density = 9.65 g/cm3
data_Ba4Tl13Hg3
_cell_length_a 12.480
_cell_length_b 5.230
_cell_length_c 20.421
_cell_angle_alpha 90.00
_cell_angle_beta 100.52
_cell_angle_gamma 90.00
_symmetry_space_group_name_H-M 'C 1 m 1'
_symmetry_Int_Tables_number 8
_symmetry_space_group_name_Hall 'C -2y'
loop_
_atom_site_label
_atom_site_type_symbol
_atom_site_fract_x
_atom_site_fract_y
_atom_site_fract_z
_atom_site_occupancy
Ba1 Ba 0.000 0.000 0.000 1
Ba2 Ba 0.001 0.500 0.494 1
Ba3 Ba 0.363 0.500 0.200 1
Ba4 Ba 0.364 0.000 0.702 1
Tl1 Tl 0.047 0.000 0.623 1
Tl2 Tl 0.052 0.500 0.873 1
Tl3 Tl 0.053 0.000 0.370 1
Tl4 Tl 0.079 0.000 0.786 1
Tl5 Tl 0.080 0.500 0.284 1
Tl6 Tl 0.155 0.000 0.182 1
Tl7 Tl 0.159 0.500 0.685 1
Tl8 Tl 0.207 0.500 0.017 1
Tl9 Tl 0.210 0.000 0.513 1
Tl10 Tl 0.282 0.000 0.915 1
Tl11 Tl 0.289 0.500 0.414 1
Tl12 Tl 0.310 0.000 0.325 1
Tl13 Tl 0.315 0.500 0.829 1
Hg1 Hg 0.048 0.500 0.124 1
Hg2 Hg 0.308 0.500 0.575 1
Hg3 Hg 0.314 0.000 0.075 1


Record 6
# BaTl3Hg, relaxed, DFT PBE
# Calculated formation energy = 0.02 eV/atom
# E above lowest polymorph = 0.291 eV/atom
# DFT total energy = -9.24 eV per cell
# Theoretical density = 8.01 g/cm3
data_BaTl3Hg
_cell_length_a 5.819
_cell_length_b 5.819
_cell_length_c 5.819
_cell_angle_alpha 90.00
_cell_angle_beta 90.00
_cell_angle_gamma 90.00
_symmetry_space_group_name_H-M 'P m -3 m'
_symmetry_Int_Tables_number 221
_symmetry_space_group_name_Hall '-P 4 2 3'
loop_
_atom_site_label
_atom_site_type_symbol
_atom_site_fract_x
_atom_site_fract_y
_atom_site_fract_z
_atom_site_occupancy
Ba1 Ba 0.000 0.000 0.000 1
Tl1 Tl 0.000 0.500 0.500 1
Hg1 Hg 0.500 0.500 0.500 1


Record 7
# Ba2Tl3Hg, relaxed, DFT PBE
# Calculated formation energy = -0.38 eV/atom
# E above lowest polymorph = 0.031 eV/atom
# DFT total energy = -108.42 eV per cell
# Theoretical density = 8.51 g/cm3
data_Ba2Tl3Hg
_cell_length_a 8.526
_cell_length_b 10.708
_cell_length_c 18.600
_cell_angle_alpha 90.00
_cell_angle_beta 90.00
_cell_angle_gamma 90.00
_symmetry_space_group_name_H-M 'F m m m'
_symmetry_Int_Tables_number 69
_symmetry_space_group_name_Hall '-F 2 2'
loop_
_atom_site_label
_atom_site_type_symbol
_atom_site_fract_x
_atom_site_fract_y
_atom_site_fract_z
_atom_site_occupancy
Ba1 Ba 0.243 0.000 0.000 1
Ba2 Ba 0.250 0.250 0.250 1
Tl1 Tl 0.000 0.000 0.332 1
Tl2 Tl 0.000 0.249 0.084 1
Hg1 Hg 0.000 0.000 0.167 1


Record 8
# BaTlHg, relaxed, DFT PBE
# Calculated formation energy = -0.07 eV/atom
# E above lowest polymorph = 0.366 eV/atom
# DFT total energy = -19.24 eV per cell
# Theoretical density = 7.17 g/cm3
data_BaTlHg
_cell_length_a 7.950
_cell_length_b 7.950
_cell_length_c 7.950
_cell_angle_alpha 90.00
_cell_angle_beta 90.00
_cell_angle_gamma 90.00
_symmetry_space_group_name_H-M 'F -4 3 m'
_symmetry_Int_Tables_number 216
_symmetry_space_group_name_Hall 'F -4 2 3'
loop_
_atom_site_label
_atom_site_type_symbol
_atom_site_fract_x
_atom_site_fract_y
_atom_site_fract_z
_atom_site_occupancy
Ba1 Ba 0.000 0.000 0.000 1
Tl1 Tl 0.250 0.250 0.750 1
Hg1 Hg 0.250 0.250 0.250 1


Record 9
# BaTlHg4, relaxed, DFT PBE
# Calculated formation energy = -0.22 eV/atom
# E above lowest polymorph = 0.052 eV/atom
# DFT total energy = -27.32 eV per cell
# Theoretical density = 9.70 g/cm3
data_BaTlHg4
_cell_length_a 5.543
_cell_length_b 16.869
_cell_length_c 8.374
_cell_angle_alpha 90.00
_cell_angle_beta 90.00
_cell_angle_gamma 90.00
_symmetry_space_group_name_H-M 'C m c m'
_symmetry_Int_Tables_number 63
_symmetry_space_group_name_Hall '-C 2c 2'
loop_
_atom_site_label
_atom_site_type_symbol
_atom_site_fract_x
_atom_site_fract_y
_atom_site_fract_z
_atom_site_occupancy
Ba1 Ba 0.000 0.124 0.250 1
Tl1 Tl 0.000 0.352 0.250 1
Hg1 Hg 0.000 0.076 0.750 1
Hg2 Hg 0.000 0.269 0.577 1
Hg3 Hg 0.000 0.500 0.000 1


Record 10
# Ba6Tl3Hg, relaxed, DFT PBE
# Calculated formation energy = -0.25 eV/atom
# DFT total energy = -42.80 eV per cell
# Theoretical density = 5.55 g/cm3
data_Ba6Tl3Hg
_cell_length_a 8.688
_cell_length_b 9.552
_cell_length_c 13.662
_cell_angle_alpha 90.00
_cell_angle_beta 120.17
_cell_angle_gamma 90.00
_symmetry_space_group_name_H-M 'P 1 21/c 1'
_symmetry_Int_Tables_number 14
_symmetry_space_group_name_Hall '-P 2ybc'
loop_
_atom_site_label
_atom_site_type_symbol
_atom_site_fract_x
_atom_site_fract_y
_atom_site_fract_z
_atom_site_occupancy
Ba1 Ba 0.078 0.062 0.263 1
Ba2 Ba 0.228 0.684 0.075 1
Ba3 Ba 0.401 0.166 0.067 1
Tl1 Tl 0.312 0.123 0.758 1
Tl2 Tl 0.500 0.000 0.500 1
Hg1 Hg 0.000 0.000 0.000 1


Record 11
# BaTl7Hg4, relaxed, DFT PBE
# Calculated formation energy = -0.04 eV/atom
# DFT total energy = -40.35 eV per cell
# Theoretical density = 10.01 g/cm3
data_BaTl7Hg4
_cell_length_a 13.412
_cell_length_b 6.587
_cell_length_c 10.514
_cell_angle_alpha 90.00
_cell_angle_beta 122.17
_cell_angle_gamma 90.00
_symmetry_space_group_name_H-M 'C 1 2/m 1'
_symmetry_Int_Tables_number 12
_symmetry_space_group_name_Hall '-C 2y'
loop_
_atom_site_label
_atom_site_type_symbol
_atom_site_fract_x
_atom_site_fract_y
_atom_site_fract_z
_atom_site_occupancy
Ba1 Ba 0.000 0.000 0.000 1
Tl1 Tl 0.000 0.500 0.000 1
Tl2 Tl 0.017 0.000 0.357 1
Tl3 Tl 0.213 0.500 0.637 1
Tl4 Tl 0.237 0.500 0.007 1
Hg1 Hg 0.005 0.500 0.313 1
Hg2 Hg 0.246 0.500 0.324 1


Record 12
# Ba6TlHg2, relaxed, DFT PBE
# Calculated formation energy = -0.32 eV/atom
# DFT total energy = -69.39 eV per cell
# Theoretical density = 5.72 g/cm3
data_Ba6TlHg2
_cell_length_a 11.365
_cell_length_b 11.970
_cell_length_c 12.195
_cell_angle_alpha 90.00
_cell_angle_beta 90.00
_cell_angle_gamma 90.00
_symmetry_space_group_name_H-M 'I m m m'
_symmetry_Int_Tables_number 71
_symmetry_space_group_name_Hall '-I 2 2'
loop_
_atom_site_label
_atom_site_type_symbol
_atom_site_fract_x
_atom_site_fract_y
_atom_site_fract_z
_atom_site_occupancy
Ba1 Ba 0.000 0.187 0.249 1
Ba2 Ba 0.204 0.500 0.162 1
Ba3 Ba 0.230 0.328 0.500 1
Tl1 Tl 0.000 0.000 0.000 1
Tl2 Tl 0.000 0.000 0.500 1
Hg1 Hg 0.000 0.337 0.000 1
Hg2 Hg 0.000 0.500 0.372 1


Record 13
# Ba2TlHg3, relaxed, DFT PBE
# Calculated formation energy = -0.46 eV/atom
# E above lowest polymorph = 0.000 eV/atom
# DFT total energy = -78.95 eV per cell
# Theoretical density = 8.86 g/cm3
data_Ba2TlHg3
_cell_length_a 8.271
_cell_length_b 10.576
_cell_length_c 18.534
_cell_angle_alpha 90.00
_cell_angle_beta 90.00
_cell_angle_gamma 90.00
_symmetry_space_group_name_H-M 'F m m m'
_symmetry_Int_Tables_number 69
_symmetry_space_group_name_Hall '-F 2 2'
loop_
_atom_site_label
_atom_site_type_symbol
_atom_site_fract_x
_atom_site_fract_y
_atom_site_fract_z
_atom_site_occupancy
Ba1 Ba 0.245 0.000 0.000 1
Ba2 Ba 0.250 0.250 0.250 1
Tl1 Tl 0.000 0.000 0.334 1
Hg1 Hg 0.000 0.000 0.166 1
Hg2 Hg 0.000 0.249 0.083 1


Record 14
# BaY2Tl2Hg2, relaxed, DFT PBE
# Calculated formation energy = -0.32 eV/atom
# DFT total energy = -67.36 eV per cell
# Theoretical density = 8.48 g/cm3
data_BaY2Tl2Hg2
_cell_length_a 5.1016
_cell_length_b 5.1016
_cell_length_c 29.3229
_cell_angle_alpha 90.00
_cell_angle_beta 90.00
_cell_angle_gamma 120.00
_symmetry_space_group_name_H-M 'R -3 m'
_symmetry_Int_Tables_number 166
_symmetry_space_group_name_Hall '-R 3 2"'
loop_
_atom_site_label
_atom_site_type_symbol
_atom_site_fract_x
_atom_site_fract_y
_atom_site_fract_z
_atom_site_occupancy
Ba1 Ba 0.0000 0.0000 0.0000 1
Y1 Y 0.0000 0.0000 0.1362 1
Tl1 Tl 0.0000 0.0000 0.2571 1
Hg1 Hg 0.0000 0.0000 0.4446 1


Record 15
# BaYTlHg, relaxed, DFT PBE
# Calculated formation energy = -0.33 eV/atom
# DFT total energy = -49.48 eV per cell
# Theoretical density = 8.09 g/cm3
data_BaYTlHg
_cell_length_a 8.034
_cell_length_b 8.034
_cell_length_c 8.034
_cell_angle_alpha 90.00
_cell_angle_beta 90.00
_cell_angle_gamma 90.00
_symmetry_space_group_name_H-M 'F -4 3 m'
_symmetry_Int_Tables_number 216
_symmetry_space_group_name_Hall 'F -4 2 3'
loop_
_atom_site_label
_atom_site_type_symbol
_atom_site_fract_x
_atom_site_fract_y
_atom_site_fract_z
_atom_site_occupancy
Ba1 Ba 0.000 0.000 0.000 1
Y1 Y 0.000 0.000 0.500 1
Tl1 Tl 0.250 0.250 0.750 1
Hg1 Hg 0.250 0.250 0.250 1


Record 16
# Ba2Tl4ZnHg3, relaxed, DFT PBE
# Calculated formation energy = -0.25 eV/atom
# DFT total energy = -18.03 eV per cell
# Theoretical density = 9.27 g/cm3
data_Ba2Tl4ZnHg3
_cell_length_a 5.062
_cell_length_b 5.062
_cell_length_c 12.303
_cell_angle_alpha 90.00
_cell_angle_beta 90.00
_cell_angle_gamma 90.00
_symmetry_space_group_name_H-M 'P -4 m 2'
_symmetry_Int_Tables_number 115
_symmetry_space_group_name_Hall 'P -4 -2'
loop_
_atom_site_label
_atom_site_type_symbol
_atom_site_fract_x
_atom_site_fract_y
_atom_site_fract_z
_atom_site_occupancy
Ba1 Ba 0.000 0.500 0.240 1
Tl1 Tl 0.000 0.000 0.500 1
Tl2 Tl 0.000 0.500 0.879 1
Tl3 Tl 0.500 0.500 0.500 1
Zn1 Zn 0.500 0.500 0.000 1
Hg1 Hg 0.000 0.000 0.000 1
Hg2 Hg 0.000 0.500 0.642 1


Record 17
# BaTl2ZnHg, relaxed, DFT PBE
# Calculated formation energy = -0.11 eV/atom
# DFT total energy = -8.80 eV per cell
# Theoretical density = 8.46 g/cm3
data_BaTl2ZnHg
_cell_length_a 5.487
_cell_length_b 5.487
_cell_length_c 5.298
_cell_angle_alpha 90.00
_cell_angle_beta 90.00
_cell_angle_gamma 90.00
_symmetry_space_group_name_H-M 'P 4/m m m'
_symmetry_Int_Tables_number 123
_symmetry_space_group_name_Hall '-P 4 2'
loop_
_atom_site_label
_atom_site_type_symbol
_atom_site_fract_x
_atom_site_fract_y
_atom_site_fract_z
_atom_site_occupancy
Ba1 Ba 0.000 0.000 0.000 1
Tl1 Tl 0.000 0.500 0.500 1
Zn1 Zn 0.500 0.500 0.500 1
Hg1 Hg 0.500 0.500 0.000 1


Record 18
# BaZrTl2Hg, relaxed, DFT PBE
# Calculated formation energy = 1.18 eV/atom
# DFT total energy = -9.59 eV per cell
# Theoretical density = 5.99 g/cm3
data_BaZrTl2Hg
_cell_length_a 6.225
_cell_length_b 6.225
_cell_length_c 5.995
_cell_angle_alpha 90.00
_cell_angle_beta 90.00
_cell_angle_gamma 90.00
_symmetry_space_group_name_H-M 'P 4/m m m'
_symmetry_Int_Tables_number 123
_symmetry_space_group_name_Hall '-P 4 2'
loop_
_atom_site_label
_atom_site_type_symbol
_atom_site_fract_x
_atom_site_fract_y
_atom_site_fract_z
_atom_site_occupancy
Ba1 Ba 0.000 0.000 0.000 1
Zr1 Zr 0.500 0.500 0.500 1
Tl1 Tl 0.000 0.500 0.000 1
Hg1 Hg 0.000 0.000 0.500 1


Record 19
# BaTm2Hg, relaxed, DFT PBE
# Calculated formation energy = 0.09 eV/atom
# DFT total energy = -32.45 eV per cell
# Theoretical density = 8.28 g/cm3
data_BaTm2Hg
_cell_length_a 3.6418
_cell_length_b 3.6418
_cell_length_c 35.4140
_cell_angle_alpha 90.00
_cell_angle_beta 90.00
_cell_angle_gamma 120.00
_symmetry_space_group_name_H-M 'R -3 m'
_symmetry_Int_Tables_number 166
_symmetry_space_group_name_Hall '-R 3 2"'
loop_
_atom_site_label
_atom_site_type_symbol
_atom_site_fract_x
_atom_site_fract_y
_atom_site_fract_z
_atom_site_occupancy
Ba1 Ba 0.0000 0.0000 0.0000 1
Tm1 Tm 0.0000 0.0000 0.1023 1
Hg1 Hg 0.0000 0.0000 0.5000 1


Record 20
# BaTmHg, relaxed, DFT PBE
# Calculated formation energy = -0.24 eV/atom
# DFT total energy = -14.83 eV per cell
# Theoretical density = 7.96 g/cm3
data_BaTmHg
_cell_length_a 3.928
_cell_length_b 3.928
_cell_length_c 13.695
_cell_angle_alpha 90.00
_cell_angle_beta 90.00
_cell_angle_gamma 90.00
_symmetry_space_group_name_H-M 'I 4 m m'
_symmetry_Int_Tables_number 107
_symmetry_space_group_name_Hall 'I 4 -2'
loop_
_atom_site_label
_atom_site_type_symbol
_atom_site_fract_x
_atom_site_fract_y
_atom_site_fract_z
_atom_site_occupancy
Ba1 Ba 0.000 0.000 0.000 1
Tm1 Tm 0.000 0.000 0.275 1
Hg1 Hg 0.000 0.000 0.682 1